1.
# GGA-PBE Sr2YIr3O12, relaxed
data_Sr2YIr3O12
_cell_length_a 6.699
_cell_length_b 6.699
_cell_length_c 6.699
_cell_angle_alpha 65.94
_cell_angle_beta 65.94
_cell_angle_gamma 65.94
_symmetry_space_group_name_H-M 'P 1'
_symmetry_Int_Tables_number 1
_symmetry_space_group_name_Hall 'P 1'
loop_
_atom_site_label
_atom_site_type_symbol
_atom_site_fract_x
_atom_site_fract_y
_atom_site_fract_z
_atom_site_occupancy
Sr1 Sr 0.113 0.113 0.113 1
Sr2 Sr 0.887 0.887 0.887 1
Y1 Y 0.500 0.500 0.500 1
Ir1 Ir 0.000 0.500 0.500 1
Ir2 Ir 0.500 0.000 0.500 1
Ir3 Ir 0.500 0.500 0.000 1
O1 O 0.092 0.636 0.636 1
O2 O 0.207 0.207 0.628 1
O3 O 0.207 0.628 0.207 1
O4 O 0.364 0.364 0.908 1
O5 O 0.364 0.908 0.364 1
O6 O 0.372 0.793 0.793 1
O7 O 0.628 0.207 0.207 1
O8 O 0.636 0.092 0.636 1
O9 O 0.636 0.636 0.092 1
O10 O 0.793 0.372 0.793 1
O11 O 0.793 0.793 0.372 1
O12 O 0.908 0.364 0.364 1
# raw formation energy = -1513 meV per atom
# total moment = 0.131 μB per formula unit
# SG = R-3m, No. 166
# crystal system = trigonal

2.
# GGA-PBE SrZnIrO6, relaxed
data_SrZnIrO6
_cell_length_a 5.314
_cell_length_b 5.314
_cell_length_c 5.317
_cell_angle_alpha 90.00
_cell_angle_beta 90.00
_cell_angle_gamma 120.00
_symmetry_space_group_name_H-M 'P 1'
_symmetry_Int_Tables_number 1
_symmetry_space_group_name_Hall 'P 1'
loop_
_atom_site_label
_atom_site_type_symbol
_atom_site_fract_x
_atom_site_fract_y
_atom_site_fract_z
_atom_site_occupancy
Sr1 Sr 0.000 0.000 0.000 1
Zn1 Zn 0.333 0.667 0.500 1
Ir1 Ir 0.667 0.333 0.500 1
O1 O 0.386 0.026 0.702 1
O2 O 0.386 0.360 0.298 1
O3 O 0.640 0.026 0.298 1
O4 O 0.640 0.614 0.702 1
O5 O 0.974 0.360 0.702 1
O6 O 0.974 0.614 0.298 1
# raw formation energy = -1190 meV per atom
# total moment = 0.000 μB per formula unit
# SG = P312, No. 149
# crystal system = trigonal